First-principles (PBE) data for an optimized crystal structure of ZnCd2Ag, as listed in Alexandria via LeMat-Bulk.

Calculated values
Raw total energy: -5.86 eV/cell
Crystal system: orthorhombic
Space-group type: Cmmm, No. 65

Unit cell a=5.203 b=5.203 c=2.980 alpha=90.00 beta=90.00 gamma=107.38
Atoms (fractional coordinates):
Zn 0.500 0.000 0.500
Ag 0.000 0.500 0.500
Cd 0.000 0.000 0.000
Cd 0.500 0.500 0.000


First-principles (PBE) data for an optimized crystal structure of Mg4ZnCu, as listed in Alexandria via LeMat-Bulk.

Calculated values
Excess energy over the best structure of this formula in the dataset: 0.137 eV/atom
Crystal system: orthorhombic
Space-group type: Pmma, No. 51

Unit cell a=2.964 b=8.345 c=9.239 alpha=90.00 beta=90.00 gamma=90.00
Atoms (fractional coordinates):
Zn 0.000 0.160 0.250
Zn 0.000 0.840 0.750
Mg 0.000 0.000 0.000
Mg 0.000 0.000 0.500
Mg 0.500 0.820 0.250
Mg 0.500 0.180 0.750
Mg 0.500 0.339 0.046
Mg 0.500 0.339 0.454
Mg 0.500 0.661 0.954
Mg 0.500 0.661 0.546
Cu 0.000 0.529 0.250
Cu 0.000 0.471 0.750